Record 1
Computed, not measured: a geometry-optimized Ba3PC structure at the PBE level of DFT.

Calculated values
calculated density: 4.47 g cm⁻³
SG: No. 221
M_tot: 0.00 μB/f.u.
ΔE_f: 80 meV per atom
D(E_F): 3.4 states/eV/f.u.

abc: 5.528 5.528 5.528
angles: 90.00 90.00 90.00
Fractional coordinates of all 5 atoms:
Ba: 0.000 0.000 0.500
Ba: 0.000 0.500 0.000
Ba: 0.500 0.000 0.000
P: 0.500 0.500 0.500
C: 0.000 0.000 0.000


Record 2
Computed, not measured: a geometry-optimized Rb3PtCl structure at the PBE level of DFT.

Calculated values
calculated density: 3.21 g cm⁻³
SG: No. 221
M_tot: 0.00 μB/f.u.
formation energy without anion corrections: -0.572 eV per atom
D(E_F): 0.0 states/eV/f.u.

abc: 6.319 6.319 6.319
angles: 90.00 90.00 90.00
Fractional coordinates of all 5 atoms:
Rb: 0.000 0.000 0.500
Rb: 0.000 0.500 0.000
Rb: 0.500 0.000 0.000
Pt: 0.000 0.000 0.000
Cl: 0.500 0.500 0.500


Record 3
Computed, not measured: a geometry-optimized Nd5Dy4Sc3 structure at the PBE level of DFT.

Calculated values
calculated density: 6.54 g cm⁻³
SG: No. 12
M_tot: 0.00 μB/f.u.
ΔE_f: 228 meV per atom
D(E_F): 20.7 states/eV/f.u.

abc: 8.414 8.414 9.400
angles: 115.66 115.66 40.35
Fractional coordinates of all 12 atoms:
Nd: 0.000 0.000 0.000
Nd: 0.068 0.068 0.704
Nd: 0.281 0.281 0.744
Nd: 0.719 0.719 0.256
Nd: 0.932 0.932 0.296
Dy: 0.287 0.287 0.110
Dy: 0.409 0.409 0.543
Dy: 0.591 0.591 0.457
Dy: 0.713 0.713 0.890
Sc: 0.172 0.172 0.372
Sc: 0.500 0.500 0.000
Sc: 0.828 0.828 0.628


Record 4
Computed, not measured: a geometry-optimized CaTm2SiN4 structure at the PBE level of DFT.

Calculated values
calculated density: 7.08 g cm⁻³
SG: No. 63
M_tot: 0.00 μB/f.u.
formation energy without anion corrections: -1.417 eV per atom

abc: 5.989 5.989 11.464
angles: 90.00 90.00 148.19
Fractional coordinates of all 16 atoms:
Ca: 0.098 0.902 0.750
Ca: 0.902 0.098 0.250
Tm: 0.369 0.631 0.539
Tm: 0.369 0.631 0.961
Tm: 0.631 0.369 0.039
Tm: 0.631 0.369 0.461
Si: 0.178 0.822 0.250
Si: 0.822 0.178 0.750
N: 0.000 0.000 0.000
N: 0.000 0.000 0.500
N: 0.262 0.738 0.126
N: 0.262 0.738 0.374
N: 0.408 0.592 0.750
N: 0.592 0.408 0.250
N: 0.738 0.262 0.626
N: 0.738 0.262 0.874


Record 5
Computed, not measured: a geometry-optimized Li2AsAu structure at the PBE level of DFT.

Calculated values
calculated density: 7.55 g cm⁻³
SG: No. 10
M_tot: 0.00 μB/f.u.
ΔE_f: -496 meV per atom
D(E_F): 1.5 states/eV/f.u.

abc: 2.886 3.927 5.547
angles: 90.00 90.10 90.00
Fractional coordinates of all 4 atoms:
Li: 0.003 0.000 0.262
Li: 0.997 0.000 0.738
As: 0.500 0.500 0.500
Au: 0.500 0.500 0.000


Record 6
Computed, not measured: a geometry-optimized ZrTl2Tc structure at the PBE level of DFT.

Calculated values
calculated density: 12.01 g cm⁻³
SG: No. 119
M_tot: 0.00 μB/f.u.
ΔE_f: 387 meV per atom
D(E_F): 4.1 states/eV/f.u.

abc: 4.297 4.297 8.951
angles: 90.00 90.00 90.00
Fractional coordinates of all 8 atoms:
Zr: 0.000 0.000 0.000
Zr: 0.500 0.500 0.500
Tl: 0.000 0.000 0.500
Tl: 0.000 0.500 0.250
Tl: 0.500 0.000 0.750
Tl: 0.500 0.500 0.000
Tc: 0.000 0.500 0.750
Tc: 0.500 0.000 0.250


Record 7
Computed, not measured: a geometry-optimized Ba2MgSc structure at the PBE level of DFT.

Calculated values
calculated density: 3.76 g cm⁻³
SG: No. 216
M_tot: 0.94 μB/f.u.
ΔE_f: 280 meV per atom
D(E_F): 6.3 states/eV/f.u.

abc: 8.468 8.468 8.468
angles: 90.00 90.00 90.00
Fractional coordinates of all 16 atoms:
Ba: 0.000 0.000 0.000
Ba: 0.000 0.500 0.500
Ba: 0.250 0.250 0.250
Ba: 0.250 0.750 0.750
Ba: 0.500 0.000 0.500
Ba: 0.500 0.500 0.000
Ba: 0.750 0.250 0.750
Ba: 0.750 0.750 0.250
Mg: 0.250 0.250 0.750
Mg: 0.250 0.750 0.250
Mg: 0.750 0.250 0.250
Mg: 0.750 0.750 0.750
Sc: 0.000 0.000 0.500
Sc: 0.000 0.500 0.000
Sc: 0.500 0.000 0.000
Sc: 0.500 0.500 0.500